# BaCa3H PBE relaxed
# * size of the total moment: 0.0 μB per formula unit
# * E: -2.29 eV per atom
data_BaCa3H
_chemical_formula_sum 'Ba1 Ca3 H1'
_symmetry_space_group_name_H-M 'P m -3 m'
_symmetry_Int_Tables_number 221
_symmetry_space_group_name_Hall '-P 4 2 3'
_cell_length_a 5.610
_cell_length_b 5.610
_cell_length_c 5.610
_cell_angle_alpha 90.00
_cell_angle_beta 90.00
_cell_angle_gamma 90.00
loop_
_atom_site_label
_atom_site_type_symbol
_atom_site_fract_x
_atom_site_fract_y
_atom_site_fract_z
_atom_site_occupancy
Ba1 Ba 0.000 0.000 0.000 1
Ca1 Ca 0.000 0.500 0.500 1
H1 H 0.500 0.500 0.500 1